(1)
# ZnOs2W, optimized geometry, DFT PBE
data_ZnOs2W
_chemical_formula_sum 'Zn4 Os8 W4'
_symmetry_space_group_name_H-M 'I -4 2 d'
_symmetry_Int_Tables_number 122
_symmetry_space_group_name_Hall 'I -4 2bw'
_cell_length_a 7.284
_cell_length_b 7.284
_cell_length_c 5.220
_cell_angle_alpha 90.00
_cell_angle_beta 90.00
_cell_angle_gamma 90.00
loop_
_atom_site_label
_atom_site_type_symbol
_atom_site_fract_x
_atom_site_fract_y
_atom_site_fract_z
Zn1 Zn 0.000 0.000 0.000
Os1 Os 0.207 0.750 0.625
W1 W 0.000 0.000 0.500
# Calculated formation energy: 20.196 kcal/mol of atoms
# Raw total energy: -8.296 eV/atom



(2)
# ZrTiPS2, optimized geometry, DFT PBE
data_ZrTiPS2
_chemical_formula_sum 'Zr1 Ti1 P1 S2'
_symmetry_space_group_name_H-M 'P 4/m m m'
_symmetry_Int_Tables_number 123
_symmetry_space_group_name_Hall '-P 4 2'
_cell_length_a 4.872
_cell_length_b 4.872
_cell_length_c 5.067
_cell_angle_alpha 90.00
_cell_angle_beta 90.00
_cell_angle_gamma 90.00
loop_
_atom_site_label
_atom_site_type_symbol
_atom_site_fract_x
_atom_site_fract_y
_atom_site_fract_z
Zr1 Zr 0.000 0.000 0.000
Ti1 Ti 0.500 0.500 0.500
P1 P 0.000 0.000 0.500
S1 S 0.000 0.500 0.000
# ΔE_f (raw): -0.24 eV per formula unit
# Raw total energy: -6.069 eV/atom
# Energy above the most stable polymorph in this dataset: 173.5 kJ/mol of formula units



(3)
# ZrNi2Au, optimized geometry, DFT PBE
data_ZrNi2Au
_chemical_formula_sum 'Zr2 Ni4 Au2'
_symmetry_space_group_name_H-M 'I -4 m 2'
_symmetry_Int_Tables_number 119
_symmetry_space_group_name_Hall 'I -4 -2'
_cell_length_a 3.800
_cell_length_b 3.800
_cell_length_c 8.374
_cell_angle_alpha 90.00
_cell_angle_beta 90.00
_cell_angle_gamma 90.00
loop_
_atom_site_label
_atom_site_type_symbol
_atom_site_fract_x
_atom_site_fract_y
_atom_site_fract_z
Zr1 Zr 0.000 0.000 0.000
Ni1 Ni 0.000 0.000 0.500
Ni2 Ni 0.000 0.500 0.750
Au1 Au 0.000 0.500 0.250
# Calculated formation energy: -9.522 kcal/mol of atoms
# Raw total energy: -6.260 eV/atom